<one>
# GGA-PBE LiHoSO, optimized geometry
data_LiHoSO
_cell_length_a 3.808
_cell_length_b 3.808
_cell_length_c 8.492
_cell_angle_alpha 90.00
_cell_angle_beta 90.00
_cell_angle_gamma 90.00
_space_group_name_H-M_alt 'P 4/n m m'
_space_group_IT_number 129
loop_
_space_group_symop_operation_xyz
'x,y,z'
'-x,-y,-z'
'-y+1/2,x,z'
'y+1/2,-x,-z'
'-x+1/2,-y+1/2,z'
'x+1/2,y+1/2,-z'
'y,-x+1/2,z'
'-y,x+1/2,-z'
'x+1/2,-y,-z'
'-x+1/2,y,z'
'-y,-x,-z'
'y,x,z'
'-x,y+1/2,-z'
'x,-y+1/2,z'
'y+1/2,x+1/2,-z'
'-y+1/2,-x+1/2,z'
loop_
_atom_site_label
_atom_site_type_symbol
_atom_site_fract_x
_atom_site_fract_y
_atom_site_fract_z
Li1 Li 0.250 0.750 0.000
Ho1 Ho 0.250 0.250 0.368
S1 S 0.250 0.250 0.826
O1 O 0.250 0.750 0.500
# - density (g/cm3) = 5.9
# - total magnetic moment (μB per formula unit) = 0.00

---

<two>
# GGA-PBE LiHoSO, optimized geometry
data_LiHoSO
_cell_length_a 5.498
_cell_length_b 9.226
_cell_length_c 5.437
_cell_angle_alpha 90.00
_cell_angle_beta 90.00
_cell_angle_gamma 90.00
_space_group_name_H-M_alt 'P c a 21'
_space_group_IT_number 29
loop_
_space_group_symop_operation_xyz
'x,y,z'
'-x,-y,z+1/2'
'-x+1/2,y,z+1/2'
'x+1/2,-y,z'
loop_
_atom_site_label
_atom_site_type_symbol
_atom_site_fract_x
_atom_site_fract_y
_atom_site_fract_z
Li1 Li 0.143 0.038 0.000
Ho1 Ho 0.005 0.312 0.634
S1 S 0.007 0.641 0.634
O1 O 0.058 0.100 0.666
# - density (g/cm3) = 5.3
# - total magnetic moment (μB per formula unit) = 0.00

---

<three>
# GGA-PBE LiHoSO, optimized geometry
data_LiHoSO
_cell_length_a 6.084
_cell_length_b 7.140
_cell_length_c 6.288
_cell_angle_alpha 90.00
_cell_angle_beta 100.16
_cell_angle_gamma 90.00
_space_group_name_H-M_alt 'P 1 21/c 1'
_space_group_IT_number 14
loop_
_space_group_symop_operation_xyz
'x,y,z'
'-x,-y,-z'
'-x,y+1/2,-z+1/2'
'x,-y+1/2,z+1/2'
loop_
_atom_site_label
_atom_site_type_symbol
_atom_site_fract_x
_atom_site_fract_y
_atom_site_fract_z
Li1 Li 0.081 0.232 0.418
Ho1 Ho 0.463 0.619 0.267
S1 S 0.193 0.598 0.852
O1 O 0.370 0.157 0.896
# - density (g/cm3) = 5.4
# - total magnetic moment (μB per formula unit) = 0.00

---

What should be chosen as the least stable of them? Choose <two>.

---

<one>
# GGA-PBE LiHoSO, optimized geometry
data_LiHoSO
_cell_length_a 5.492
_cell_length_b 5.464
_cell_length_c 9.847
_cell_angle_alpha 90.00
_cell_angle_beta 105.73
_cell_angle_gamma 90.00
_space_group_name_H-M_alt 'P 1 21 1'
_space_group_IT_number 4
loop_
_space_group_symop_operation_xyz
'x,y,z'
'-x,y+1/2,-z'
loop_
_atom_site_label
_atom_site_type_symbol
_atom_site_fract_x
_atom_site_fract_y
_atom_site_fract_z
Li1 Li 0.017 0.000 0.081
Li2 Li 0.469 0.663 0.072
Ho1 Ho 0.054 0.261 0.615
Ho2 Ho 0.447 0.262 0.384
S1 S 0.123 0.558 0.169
S2 S 0.369 0.550 0.829
O1 O 0.250 0.010 0.499
O2 O 0.251 0.508 0.500
# - density (g/cm3) = 5.1
# - total magnetic moment (μB per formula unit) = 0.00

---

<two>
# GGA-PBE LiHoSO, optimized geometry
data_LiHoSO
_cell_length_a 3.963
_cell_length_b 6.456
_cell_length_c 6.106
_cell_angle_alpha 90.00
_cell_angle_beta 90.00
_cell_angle_gamma 90.00
_space_group_name_H-M_alt 'P m c 21'
_space_group_IT_number 26
loop_
_space_group_symop_operation_xyz
'x,y,z'
'-x,-y,z+1/2'
'-x,y,z'
'x,-y,z+1/2'
loop_
_atom_site_label
_atom_site_type_symbol
_atom_site_fract_x
_atom_site_fract_y
_atom_site_fract_z
Li1 Li 0.000 0.210 0.000
Ho1 Ho 0.500 0.345 0.434
S1 S 0.000 0.154 0.612
O1 O 0.500 0.362 0.086
# - density (g/cm3) = 4.7
# - total magnetic moment (μB per formula unit) = 0.00

---

What should be chosen as the least stable of them? Choose <two>.

---

<one>
# GGA-PBE LiHoSeO, optimized geometry
data_LiHoSeO
_cell_length_a 6.303
_cell_length_b 7.244
_cell_length_c 6.222
_cell_angle_alpha 90.00
_cell_angle_beta 101.93
_cell_angle_gamma 90.00
_space_group_name_H-M_alt 'P 1 21/c 1'
_space_group_IT_number 14
loop_
_space_group_symop_operation_xyz
'x,y,z'
'-x,-y,-z'
'-x,y+1/2,-z+1/2'
'x,-y+1/2,z+1/2'
loop_
_atom_site_label
_atom_site_type_symbol
_atom_site_fract_x
_atom_site_fract_y
_atom_site_fract_z
Li1 Li 0.115 0.237 0.471
Ho1 Ho 0.434 0.618 0.763
Se1 Se 0.171 0.571 0.316
O1 O 0.397 0.165 0.397
# - density (g/cm3) = 6.4
# - total magnetic moment (μB per formula unit) = 0.00

---

<two>
# GGA-PBE LiHoSeO, optimized geometry
data_LiHoSeO
_cell_length_a 3.890
_cell_length_b 3.890
_cell_length_c 8.794
_cell_angle_alpha 90.00
_cell_angle_beta 90.00
_cell_angle_gamma 90.00
_space_group_name_H-M_alt 'P 4/n m m'
_space_group_IT_number 129
loop_
_space_group_symop_operation_xyz
'x,y,z'
'-x,-y,-z'
'-y+1/2,x,z'
'y+1/2,-x,-z'
'-x+1/2,-y+1/2,z'
'x+1/2,y+1/2,-z'
'y,-x+1/2,z'
'-y,x+1/2,-z'
'x+1/2,-y,-z'
'-x+1/2,y,z'
'-y,-x,-z'
'y,x,z'
'-x,y+1/2,-z'
'x,-y+1/2,z'
'y+1/2,x+1/2,-z'
'-y+1/2,-x+1/2,z'
loop_
_atom_site_label
_atom_site_type_symbol
_atom_site_fract_x
_atom_site_fract_y
_atom_site_fract_z
Li1 Li 0.250 0.750 0.000
Ho1 Ho 0.250 0.250 0.375
Se1 Se 0.250 0.250 0.819
O1 O 0.250 0.750 0.500
# - density (g/cm3) = 6.7
# - total magnetic moment (μB per formula unit) = 0.00

---

<three>
# GGA-PBE LiHoSeO, optimized geometry
data_LiHoSeO
_cell_length_a 3.798
_cell_length_b 6.166
_cell_length_c 6.647
_cell_angle_alpha 90.00
_cell_angle_beta 90.00
_cell_angle_gamma 90.00
_space_group_name_H-M_alt 'P m c 21'
_space_group_IT_number 26
loop_
_space_group_symop_operation_xyz
'x,y,z'
'-x,-y,z+1/2'
'-x,y,z'
'x,-y,z+1/2'
loop_
_atom_site_label
_atom_site_type_symbol
_atom_site_fract_x
_atom_site_fract_y
_atom_site_fract_z
Li1 Li 0.000 0.149 0.000
Ho1 Ho 0.500 0.462 0.318
Se1 Se 0.000 0.266 0.584
O1 O 0.500 0.279 0.042
# - density (g/cm3) = 5.7
# - total magnetic moment (μB per formula unit) = 0.00

---

What should be chosen as the least stable of them? Choose <three>.

---

<one>
# GGA-PBE LiHoTeO, optimized geometry
data_LiHoTeO
_cell_length_a 6.709
_cell_length_b 7.430
_cell_length_c 6.436
_cell_angle_alpha 90.00
_cell_angle_beta 100.69
_cell_angle_gamma 90.00
_space_group_name_H-M_alt 'P 1 21/c 1'
_space_group_IT_number 14
loop_
_space_group_symop_operation_xyz
'x,y,z'
'-x,-y,-z'
'-x,y+1/2,-z+1/2'
'x,-y+1/2,z+1/2'
loop_
_atom_site_label
_atom_site_type_symbol
_atom_site_fract_x
_atom_site_fract_y
_atom_site_fract_z
Li1 Li 0.138 0.221 0.468
Ho1 Ho 0.445 0.618 0.772
Te1 Te 0.166 0.566 0.313
O1 O 0.408 0.161 0.399
# - density (g/cm3) = 6.6
# - total magnetic moment (μB per formula unit) = 0.00

---

<two>
# GGA-PBE LiHoTeO, optimized geometry
data_LiHoTeO
_cell_length_a 3.961
_cell_length_b 6.603
_cell_length_c 6.799
_cell_angle_alpha 90.00
_cell_angle_beta 90.00
_cell_angle_gamma 90.00
_space_group_name_H-M_alt 'P m c 21'
_space_group_IT_number 26
loop_
_space_group_symop_operation_xyz
'x,y,z'
'-x,-y,z+1/2'
'-x,y,z'
'x,-y,z+1/2'
loop_
_atom_site_label
_atom_site_type_symbol
_atom_site_fract_x
_atom_site_fract_y
_atom_site_fract_z
Li1 Li 0.000 0.179 0.000
Ho1 Ho 0.500 0.478 0.290
Te1 Te 0.000 0.243 0.553
O1 O 0.500 0.299 0.026
# - density (g/cm3) = 5.9
# - total magnetic moment (μB per formula unit) = 0.00

---

<three>
# GGA-PBE LiHoTeO, optimized geometry
data_LiHoTeO
_cell_length_a 4.023
_cell_length_b 4.023
_cell_length_c 9.359
_cell_angle_alpha 90.00
_cell_angle_beta 90.00
_cell_angle_gamma 90.00
_space_group_name_H-M_alt 'P 4/n m m'
_space_group_IT_number 129
loop_
_space_group_symop_operation_xyz
'x,y,z'
'-x,-y,-z'
'-y+1/2,x,z'
'y+1/2,-x,-z'
'-x+1/2,-y+1/2,z'
'x+1/2,y+1/2,-z'
'y,-x+1/2,z'
'-y,x+1/2,-z'
'x+1/2,-y,-z'
'-x+1/2,y,z'
'-y,-x,-z'
'y,x,z'
'-x,y+1/2,-z'
'x,-y+1/2,z'
'y+1/2,x+1/2,-z'
'-y+1/2,-x+1/2,z'
loop_
_atom_site_label
_atom_site_type_symbol
_atom_site_fract_x
_atom_site_fract_y
_atom_site_fract_z
Li1 Li 0.250 0.750 0.000
Ho1 Ho 0.250 0.250 0.389
Te1 Te 0.250 0.250 0.809
O1 O 0.250 0.750 0.500
# - density (g/cm3) = 6.9
# - total magnetic moment (μB per formula unit) = 0.00

---

What should be chosen as the least stable of them? Choose <two>.